Entry 1:
The following is a DFT calculation (PBE) of crystalline Ba2TaTl3Te6 at its relaxed geometry.

Unit cell a=8.310 b=14.287 c=8.235 alpha=90.00 beta=109.40 gamma=90.00
Space group C2/m (No. 12)
Unique sites:
Ba: 0.000 0.167 0.000
Ta: 0.000 0.500 0.000
Tl: 0.000 0.000 0.500
Tl: 0.000 0.336 0.500
Te: 0.203 0.500 0.775
Te: 0.211 0.362 0.218

Uncorrected energy (hartree per atom): -0.15457
Magnetic moment (μB per formula unit): 0.00
Uncorrected formation energy (kcal/mol of atoms): -17.0

Entry 2:
The following is a DFT calculation (PBE) of crystalline BaTaZn2Te at its relaxed geometry.

Unit cell a=5.208 b=5.208 c=5.300 alpha=90.00 beta=90.00 gamma=90.00
Space group P4/mmm (No. 123)
Unique sites:
Ba: 0.000 0.000 0.000
Ta: 0.500 0.500 0.500
Zn: 0.000 0.500 0.500
Te: 0.500 0.500 0.000

Uncorrected energy (hartree per atom): -0.14583
Magnetic moment (μB per formula unit): 0.00
Uncorrected formation energy (kcal/mol of atoms): -1.7
Energy above the lowest structure with this stoichiometry (meV per atom): 0

Entry 3:
The following is a DFT calculation (PBE) of crystalline BaTaZn2Te at its relaxed geometry.

Unit cell a=5.815 b=5.815 c=6.311 alpha=90.00 beta=90.00 gamma=90.00
Space group P4/mmm (No. 123)
Unique sites:
Ba: 0.000 0.000 0.000
Ta: 0.500 0.500 0.500
Zn: 0.000 0.500 0.000
Te: 0.000 0.000 0.500

Uncorrected energy (hartree per atom): -0.08044
Magnetic moment (μB per formula unit): 0.74
Uncorrected formation energy (kcal/mol of atoms): 39.3
Energy above the lowest structure with this stoichiometry (meV per atom): 1779

Entry 4:
The following is a DFT calculation (PBE) of crystalline BaTa2Ti at its relaxed geometry.

Unit cell a=5.115 b=5.115 c=19.218 alpha=90.00 beta=90.00 gamma=90.00
Space group I4_1/amd (No. 141, origin choice 2)
Unique sites:
Ba: 0.000 0.250 0.375
Ta: 0.000 0.000 0.000
Ti: 0.000 0.250 0.875

Formation enthalpy at 0 K (meV/atom): 1429
Uncorrected energy (hartree per atom): -0.25545
Magnetic moment (μB per formula unit): 0.00
Energy above the lowest structure with this stoichiometry (meV per atom): 209

Entry 5:
The following is a DFT calculation (PBE) of crystalline BaTa3Ti at its relaxed geometry.

Unit cell a=4.973 b=4.973 c=4.973 alpha=90.00 beta=90.00 gamma=90.00
Space group Pm-3m (No. 221)
Unique sites:
Ba: 0.000 0.000 0.000
Ta: 0.000 0.500 0.500
Ti: 0.500 0.500 0.500

Formation enthalpy at 0 K (meV/atom): 1408
Uncorrected energy (hartree per atom): -0.28174
Magnetic moment (μB per formula unit): 0.00
Energy above the lowest structure with this stoichiometry (meV per atom): 0

Entry 6:
The following is a DFT calculation (PBE) of crystalline BaTa2Ti at its relaxed geometry.

Unit cell a=7.013 b=7.013 c=7.013 alpha=90.00 beta=90.00 gamma=90.00
Space group Fm-3m (No. 225)
Unique sites:
Ba: 0.000 0.000 0.000
Ta: 0.250 0.250 0.250
Ti: 0.000 0.000 0.500

Formation enthalpy at 0 K (meV/atom): 1221
Uncorrected energy (hartree per atom): -0.26313
Magnetic moment (μB per formula unit): 0.00
Energy above the lowest structure with this stoichiometry (meV per atom): 0

Entry 7:
The following is a DFT calculation (PBE) of crystalline BaTa3Ti at its relaxed geometry.

Unit cell a=5.037 b=5.037 c=5.037 alpha=90.00 beta=90.00 gamma=90.00
Space group Pm-3m (No. 221)
Unique sites:
Ba: 0.000 0.000 0.000
Ta: 0.000 0.000 0.500
Ti: 0.500 0.500 0.500

Formation enthalpy at 0 K (meV/atom): 2910
Uncorrected energy (hartree per atom): -0.22657
Magnetic moment (μB per formula unit): 0.00
Energy above the lowest structure with this stoichiometry (meV per atom): 1501

Entry 8:
The following is a DFT calculation (PBE) of crystalline BaTaTi2 at its relaxed geometry.

Unit cell a=7.029 b=7.029 c=7.029 alpha=90.00 beta=90.00 gamma=90.00
Space group Fm-3m (No. 225)
Unique sites:
Ba: 0.000 0.000 0.000
Ta: 0.000 0.000 0.500
Ti: 0.250 0.250 0.250

Formation enthalpy at 0 K (meV/atom): 886
Uncorrected energy (hartree per atom): -0.23905
Magnetic moment (μB per formula unit): 0.00
Energy above the lowest structure with this stoichiometry (meV per atom): 0

Entry 9:
The following is a DFT calculation (PBE) of crystalline BaTa2Ti4 at its relaxed geometry.

Unit cell a=5.056 b=5.056 c=13.107 alpha=90.00 beta=90.00 gamma=90.00
Space group I4/mmm (No. 139)
Unique sites:
Ba: 0.000 0.000 0.000
Ta: 0.000 0.000 0.399
Ti: 0.000 0.000 0.202
Ti: 0.000 0.500 0.000

Formation enthalpy at 0 K (meV/atom): 1654
Uncorrected energy (hartree per atom): -0.23955
Magnetic moment (μB per formula unit): 0.00

Entry 10:
The following is a DFT calculation (PBE) of crystalline Ba2TaTi at its relaxed geometry.

Unit cell a=7.767 b=7.767 c=7.767 alpha=90.00 beta=90.00 gamma=90.00
Space group Fm-3m (No. 225)
Unique sites:
Ba: 0.250 0.250 0.250
Ta: 0.000 0.000 0.000
Ti: 0.000 0.000 0.500

Formation enthalpy at 0 K (meV/atom): 1368
Uncorrected energy (hartree per atom): -0.16648
Magnetic moment (μB per formula unit): 0.00
Energy above the lowest structure with this stoichiometry (meV per atom): 0

Entry 11:
The following is a DFT calculation (PBE) of crystalline BaTaTi2 at its relaxed geometry.

Unit cell a=5.323 b=5.323 c=17.887 alpha=90.00 beta=90.00 gamma=90.00
Space group I4_1/amd (No. 141, origin choice 2)
Unique sites:
Ba: 0.000 0.250 0.375
Ta: 0.000 0.250 0.875
Ti: 0.000 0.000 0.000

Formation enthalpy at 0 K (meV/atom): 1282
Uncorrected energy (hartree per atom): -0.22452
Magnetic moment (μB per formula unit): 0.13
Energy above the lowest structure with this stoichiometry (meV per atom): 395

Entry 12:
The following is a DFT calculation (PBE) of crystalline Ba3TaTi at its relaxed geometry.

Unit cell a=6.107 b=6.107 c=6.107 alpha=90.00 beta=90.00 gamma=90.00
Space group Pm-3m (No. 221)
Unique sites:
Ba: 0.000 0.000 0.500
Ta: 0.000 0.000 0.000
Ti: 0.500 0.500 0.500

Formation enthalpy at 0 K (meV/atom): 1499
Uncorrected energy (hartree per atom): -0.13247
Magnetic moment (μB per formula unit): 0.04
Energy above the lowest structure with this stoichiometry (meV per atom): 0

Entry 13:
The following is a DFT calculation (PBE) of crystalline Ba2TaTi at its relaxed geometry.

Unit cell a=9.129 b=9.129 c=6.280 alpha=90.00 beta=90.00 gamma=90.00
Space group I-42d (No. 122)
Unique sites:
Ba: 0.236 0.750 0.125
Ta: 0.000 0.000 0.000
Ti: 0.000 0.000 0.500

Formation enthalpy at 0 K (meV/atom): 1514
Uncorrected energy (hartree per atom): -0.16114
Magnetic moment (μB per formula unit): 2.90
Energy above the lowest structure with this stoichiometry (meV per atom): 145

Entry 14:
The following is a DFT calculation (PBE) of crystalline BaTaTl at its relaxed geometry.

Unit cell a=3.268 b=3.268 c=15.396 alpha=90.00 beta=90.00 gamma=90.00
Space group I4mm (No. 107)
Unique sites:
Ba: 0.000 0.000 0.000
Ta: 0.000 0.000 0.315
Tl: 0.000 0.000 0.682

Formation enthalpy at 0 K (meV/atom): 708
Uncorrected energy (hartree per atom): -0.17171
Magnetic moment (μB per formula unit): 0.00
Energy above the lowest structure with this stoichiometry (meV per atom): 0

Entry 15:
The following is a DFT calculation (PBE) of crystalline BaTa3Tl at its relaxed geometry.

Unit cell a=5.307 b=5.307 c=5.307 alpha=90.00 beta=90.00 gamma=90.00
Space group Pm-3m (No. 221)
Unique sites:
Ba: 0.000 0.000 0.000
Ta: 0.000 0.500 0.500
Tl: 0.500 0.500 0.500

Formation enthalpy at 0 K (meV/atom): 2126
Uncorrected energy (hartree per atom): -0.21474
Magnetic moment (μB per formula unit): 3.41
Energy above the lowest structure with this stoichiometry (meV per atom): 0

Entry 16:
The following is a DFT calculation (PBE) of crystalline BaTa2Tl at its relaxed geometry.

Unit cell a=3.122 b=5.469 c=5.676 alpha=90.00 beta=90.00 gamma=90.00
Space group Pmmm (No. 47)
Unique sites:
Ba: 0.000 0.000 0.000
Ta: 0.000 0.500 0.500
Ta: 0.500 0.500 0.000
Tl: 0.500 0.000 0.500

Formation enthalpy at 0 K (meV/atom): 1019
Uncorrected energy (hartree per atom): -0.21973
Magnetic moment (μB per formula unit): 0.00
Energy above the lowest structure with this stoichiometry (meV per atom): 586

Entry 17:
The following is a DFT calculation (PBE) of crystalline BaTa2Tl at its relaxed geometry.

Unit cell a=3.251 b=5.831 c=11.296 alpha=90.00 beta=90.00 gamma=90.00
Space group Imm2 (No. 44)
Unique sites:
Ba: 0.000 0.000 0.000
Ta: 0.000 0.000 0.467
Ta: 0.000 0.500 0.784
Tl: 0.000 0.500 0.207

Formation enthalpy at 0 K (meV/atom): 864
Uncorrected energy (hartree per atom): -0.22546
Magnetic moment (μB per formula unit): 0.00
Energy above the lowest structure with this stoichiometry (meV per atom): 430

Entry 18:
The following is a DFT calculation (PBE) of crystalline BaTa2Tl at its relaxed geometry.

Unit cell a=4.510 b=4.510 c=4.826 alpha=90.00 beta=90.00 gamma=90.00
Space group P4/mmm (No. 123)
Unique sites:
Ba: 0.000 0.000 0.000
Ta: 0.000 0.500 0.500
Tl: 0.500 0.500 0.000

Formation enthalpy at 0 K (meV/atom): 1189
Uncorrected energy (hartree per atom): -0.21349
Magnetic moment (μB per formula unit): 0.00
Energy above the lowest structure with this stoichiometry (meV per atom): 756

Entry 19:
The following is a DFT calculation (PBE) of crystalline BaTa2Tl at its relaxed geometry.

Unit cell a=11.159 b=3.137 c=6.292 alpha=90.00 beta=100.80 gamma=90.00
Space group C2/m (No. 12)
Unique sites:
Ba: 0.000 0.000 0.000
Ta: 0.226 0.000 0.661
Tl: 0.000 0.500 0.500

Formation enthalpy at 0 K (meV/atom): 794
Uncorrected energy (hartree per atom): -0.22803
Magnetic moment (μB per formula unit): 0.00
Energy above the lowest structure with this stoichiometry (meV per atom): 360

Entry 20:
The following is a DFT calculation (PBE) of crystalline BaTa2Tl at its relaxed geometry.

Unit cell a=5.035 b=5.035 c=20.949 alpha=90.00 beta=90.00 gamma=90.00
Space group I4_1/amd (No. 141, origin choice 2)
Unique sites:
Ba: 0.000 0.250 0.375
Ta: 0.000 0.000 0.000
Tl: 0.000 0.250 0.875

Formation enthalpy at 0 K (meV/atom): 1044
Uncorrected energy (hartree per atom): -0.21882
Magnetic moment (μB per formula unit): 0.00
Energy above the lowest structure with this stoichiometry (meV per atom): 611